Arrangement P

An optimized crystal structure of LiY2Th, computed with PBE.

Calculated values
Space group = R-3m

abc: 12.251 12.251 12.251
angles: 15.90 15.90 15.90
Element x y z (fractional)
Li 0.000 0.000 0.000
Y 0.407 0.407 0.407
Y 0.593 0.593 0.593
Th 0.500 0.500 0.500


Arrangement Q

An optimized crystal structure of LiY2Th, computed with PBE.

Calculated values
Space group = P4/mmm

abc: 5.736 5.736 3.617
angles: 90.00 90.00 90.00
Element x y z (fractional)
Li 0.000 0.000 0.000
Y 0.000 0.500 0.500
Y 0.500 0.000 0.500
Th 0.500 0.500 0.000


What should be chosen as the least stable of them? Choose arrangement P.


Arrangement P

An optimized crystal structure of LiYTh, computed with PBE.

Calculated values
Space group = P4/nmm

abc: 3.612 3.612 12.895
angles: 90.00 90.00 90.00
Element x y z (fractional)
Li 0.250 0.250 0.051
Li 0.750 0.750 0.949
Y 0.250 0.250 0.784
Y 0.750 0.750 0.216
Th 0.250 0.250 0.406
Th 0.750 0.750 0.594


Arrangement Q

An optimized crystal structure of LiYTh, computed with PBE.

Calculated values
Space group = P3m1

abc: 3.491 3.491 8.469
angles: 90.00 90.00 120.00
Element x y z (fractional)
Li 0.000 0.000 0.000
Y 0.667 0.333 0.328
Th 0.333 0.667 0.666


Arrangement R

An optimized crystal structure of LiYTh, computed with PBE.

Calculated values
Space group = I4mm

abc: 6.833 6.833 6.833
angles: 149.04 149.04 44.35
Element x y z (fractional)
Li 0.000 0.000 0.000
Y 0.347 0.347 0.000
Th 0.661 0.661 0.000


What should be chosen as the least stable of them? Choose arrangement Q.


Arrangement P

An optimized crystal structure of LiTh2Zn, computed with PBE.

Calculated values
Space group = Fm-3m

abc: 5.195 5.195 5.195
angles: 60.00 60.00 60.00
Element x y z (fractional)
Li 0.000 0.000 0.000
Th 0.250 0.250 0.250
Th 0.750 0.750 0.750
Zn 0.500 0.500 0.500


Arrangement Q

An optimized crystal structure of LiTh2Zn, computed with PBE.

Calculated values
Space group = R-3m

abc: 11.830 11.830 11.830
angles: 16.36 16.36 16.36
Element x y z (fractional)
Li 0.000 0.000 0.000
Th 0.096 0.096 0.096
Th 0.904 0.904 0.904
Zn 0.500 0.500 0.500


What should be chosen as the least stable of them? Choose arrangement Q.


Arrangement P

An optimized crystal structure of LiThZn, computed with PBE.

Calculated values
Space group = I4mm

abc: 6.522 6.522 6.522
angles: 150.79 150.79 41.79
Element x y z (fractional)
Li 0.000 0.000 0.000
Th 0.291 0.291 0.000
Zn 0.612 0.612 0.000


Arrangement Q

An optimized crystal structure of LiThZn, computed with PBE.

Calculated values
Space group = P4/nmm

abc: 3.357 3.357 11.577
angles: 90.00 90.00 90.00
Element x y z (fractional)
Li 0.250 0.250 0.072
Li 0.750 0.750 0.928
Th 0.250 0.250 0.378
Th 0.750 0.750 0.622
Zn 0.250 0.250 0.809
Zn 0.750 0.750 0.191


What should be chosen as the least stable of them? Choose arrangement P.


Arrangement P

An optimized crystal structure of LiThZn4, computed with PBE.

Calculated values
Space group = I4/mmm

abc: 8.460 8.460 8.460
angles: 113.92 113.92 100.89
Element x y z (fractional)
Li 0.000 0.187 0.187
Li 0.000 0.813 0.813
Li 0.187 0.000 0.187
Li 0.813 0.000 0.813
Th 0.250 0.750 0.500
Th 0.361 0.361 0.000
Th 0.639 0.639 0.000
Th 0.750 0.250 0.500
Zn 0.001 0.001 0.644
Zn 0.001 0.357 0.000
Zn 0.185 0.373 0.558
Zn 0.185 0.627 0.812
Zn 0.357 0.001 0.000
Zn 0.357 0.357 0.356
Zn 0.373 0.185 0.558
Zn 0.373 0.815 0.188
Zn 0.627 0.185 0.812
Zn 0.627 0.815 0.442
Zn 0.643 0.643 0.644
Zn 0.643 0.999 0.000
Zn 0.815 0.373 0.188
Zn 0.815 0.627 0.442
Zn 0.999 0.643 0.000
Zn 0.999 0.999 0.356


Arrangement Q

An optimized crystal structure of LiThZn4, computed with PBE.

Calculated values
Space group = F-43m

abc: 5.406 5.406 5.406
angles: 60.00 60.00 60.00
Element x y z (fractional)
Li 0.000 0.000 0.000
Th 0.750 0.750 0.750
Zn 0.375 0.375 0.375
Zn 0.375 0.375 0.876
Zn 0.375 0.876 0.375
Zn 0.876 0.375 0.375


What should be chosen as the least stable of them? Choose arrangement P.


Arrangement P

An optimized crystal structure of LiTi, computed with PBE.

Calculated values
Space group = Fddd

abc: 6.221 6.172 5.188
angles: 65.75 64.76 49.49
Element x y z (fractional)
Li 0.035 0.715 0.035
Li 0.285 0.965 0.285
Li 0.715 0.035 0.715
Li 0.965 0.285 0.965
Ti 0.218 0.532 0.532
Ti 0.468 0.782 0.782
Ti 0.532 0.218 0.218
Ti 0.782 0.468 0.468


Arrangement Q

An optimized crystal structure of LiTi, computed with PBE.

Calculated values
Space group = F-43m

abc: 4.064 4.064 4.064
angles: 60.00 60.00 60.00
Element x y z (fractional)
Li 0.000 0.000 0.000
Ti 0.750 0.750 0.750


What should be chosen as the least stable of them? Choose arrangement Q.


Arrangement P

An optimized crystal structure of LiTi, computed with PBE.

Calculated values
Space group = Fm-3m

abc: 3.650 3.650 3.650
angles: 60.00 60.00 60.00
Element x y z (fractional)
Li 0.000 0.000 0.000
Ti 0.500 0.500 0.500


Arrangement Q

An optimized crystal structure of LiTi, computed with PBE.

Calculated values
Space group = Pnma

abc: 9.828 4.512 5.923
angles: 90.00 90.00 90.00
Element x y z (fractional)
Li 0.076 0.250 0.070
Li 0.155 0.750 0.804
Li 0.345 0.250 0.304
Li 0.424 0.750 0.570
Li 0.576 0.250 0.430
Li 0.655 0.750 0.696
Li 0.845 0.250 0.196
Li 0.924 0.750 0.930
Ti 0.076 0.250 0.558
Ti 0.185 0.750 0.317
Ti 0.315 0.250 0.817
Ti 0.424 0.750 0.058
Ti 0.576 0.250 0.942
Ti 0.685 0.750 0.183
Ti 0.815 0.250 0.683
Ti 0.924 0.750 0.442


What should be chosen as the least stable of them? Choose arrangement P.


Arrangement P

An optimized crystal structure of LiTi, computed with PBE.

Calculated values
Space group = I4/m

abc: 7.433 7.433 7.433
angles: 91.55 91.55 161.07
Element x y z (fractional)
Li 0.071 0.356 0.426
Li 0.356 0.929 0.285
Li 0.644 0.071 0.715
Li 0.929 0.644 0.574
Ti 0.126 0.840 0.966
Ti 0.160 0.126 0.286
Ti 0.840 0.874 0.714
Ti 0.874 0.160 0.034


Arrangement Q

An optimized crystal structure of LiTi, computed with PBE.

Calculated values
Space group = P4/m

abc: 10.303 10.303 2.733
angles: 90.00 90.00 90.00
Element x y z (fractional)
Li 0.090 0.660 0.000
Li 0.113 0.157 0.500
Li 0.157 0.887 0.500
Li 0.340 0.090 0.000
Li 0.660 0.910 0.000
Li 0.843 0.113 0.500
Li 0.887 0.843 0.500
Li 0.910 0.340 0.000
Ti 0.181 0.407 0.000
Ti 0.335 0.587 0.500
Ti 0.407 0.819 0.000
Ti 0.413 0.335 0.500
Ti 0.587 0.665 0.500
Ti 0.593 0.181 0.000
Ti 0.665 0.413 0.500
Ti 0.819 0.593 0.000


What should be chosen as the least stable of them? Choose arrangement P.


Arrangement P

An optimized crystal structure of LiTi, computed with PBE.

Calculated values
Space group = Amm2

abc: 2.750 7.446 7.446
angles: 139.06 90.00 90.00
Element x y z (fractional)
Li 0.000 0.000 0.000
Li 0.500 0.054 0.748
Li 0.500 0.748 0.054
Ti 0.000 0.241 0.574
Ti 0.000 0.574 0.241
Ti 0.500 0.478 0.478


Arrangement Q

An optimized crystal structure of LiTi, computed with PBE.

Calculated values
Space group = Pm-3n

abc: 7.383 7.383 7.383
angles: 90.00 90.00 90.00
Element x y z (fractional)
Li 0.000 0.250 0.500
Li 0.000 0.750 0.500
Li 0.250 0.500 0.000
Li 0.500 0.000 0.250
Li 0.500 0.000 0.750
Li 0.750 0.500 0.000
Ti 0.000 0.500 0.250
Ti 0.000 0.500 0.750
Ti 0.250 0.000 0.500
Ti 0.500 0.250 0.000
Ti 0.500 0.750 0.000
Ti 0.750 0.000 0.500


What should be chosen as the least stable of them? Choose arrangement Q.


Arrangement P

An optimized crystal structure of LiTi, computed with PBE.

Calculated values
Space group = I-43m

abc: 7.669 7.669 7.669
angles: 109.47 109.47 109.47
Element x y z (fractional)
Li 0.000 0.000 0.598
Li 0.000 0.598 0.000
Li 0.402 0.402 0.402
Li 0.598 0.000 0.000
Ti 0.000 0.000 0.201
Ti 0.000 0.201 0.000
Ti 0.201 0.000 0.000
Ti 0.799 0.799 0.799


Arrangement Q

An optimized crystal structure of LiTi, computed with PBE.

Calculated values
Space group = P6_3mc

abc: 2.708 2.708 10.813
angles: 90.00 90.00 120.00
Element x y z (fractional)
Li 0.333 0.667 0.000
Li 0.667 0.333 0.500
Ti 0.333 0.667 0.256
Ti 0.667 0.333 0.756


Arrangement R

An optimized crystal structure of LiTi, computed with PBE.

Calculated values
Space group = P6_3/m

abc: 9.725 9.725 2.650
angles: 90.00 90.00 120.00
Element x y z (fractional)
Li 0.061 0.283 0.250
Li 0.222 0.939 0.250
Li 0.283 0.222 0.750
Li 0.717 0.778 0.250
Li 0.778 0.061 0.750
Li 0.939 0.717 0.750
Ti 0.143 0.592 0.250
Ti 0.408 0.551 0.250
Ti 0.449 0.857 0.250
Ti 0.551 0.143 0.750
Ti 0.592 0.449 0.750
Ti 0.857 0.408 0.750


What should be chosen as the least stable of them? Choose arrangement P.